Density functional theory data (PBE+U) for a relaxed structure of Mn2V2Br2O5.

Results
The energy comes out at -6.82 eV per atom.

a = 3.7426 Å, b = 3.7426 Å, c = 26.8712 Å
α = 90.00°, β = 90.00°, γ = 90.00°
With the nearest neighbours (Å) after each atom.
Space group I4/mmm (No. 139)
Inequivalent atoms, fractional coordinates:
Mn 0.0000 0.0000 0.1318 [4 per cell]  4 O 2.27
V 0.0000 0.0000 0.4338 [4 per cell]  5 O 1.78-1.93
Br 0.0000 0.0000 0.3157 [4 per cell]  4 Mn 3.00, 1 V 3.17, 4 O 3.28
O 0.0000 0.0000 0.5000 [2 per cell]  2 V 1.78
O 0.0000 0.5000 0.0840 [8 per cell]  2 V 1.93